Entry 1:
Material: Pm4Y2In
Method: DFT, PBE
State: optimized geometry

The magnetization comes out at 0.0 μB/f.u. The mass density comes out at 6.1 Mg/m³. The calculation puts the final energy at -31.74 eV/f.u.

Cell: 6.222 12.424 6.097 Å, 90.00 90.00 90.00°
Space group Cmmm (No. 65)
Asymmetric unit:
Pm: 0.000 0.132 0.000 [4 per cell]
Pm: 0.000 0.329 0.500 [4 per cell]
Y: 0.000 0.381 0.000 [4 per cell]
In: 0.000 0.000 0.500 [2 per cell]

Entry 2:
Material: HfHOsRu2
Method: DFT, PBE
State: optimized geometry

The magnetization comes out at 0.0 μB/f.u. The distance to the lowest polymorph of the same formula comes out at 7 meV/atom. The mass density comes out at 14.9 Mg/m³. The calculation puts the final energy at -43.96 eV/f.u.

Cell: 3.951 3.951 4.087 Å, 90.00 90.00 90.00°
Space group P4/mmm (No. 123)
Asymmetric unit:
Hf: 0.000 0.000 0.000 [1 per cell]
H: 0.000 0.000 0.500 [1 per cell]
Os: 0.500 0.500 0.000 [1 per cell]
Ru: 0.000 0.500 0.500 [2 per cell]

Entry 3:
Material: TcOsPb2
Method: DFT, PBE
State: optimized geometry

The magnetization comes out at 0.0 μB/f.u. The distance to the lowest polymorph of the same formula comes out at 225 meV/atom. The mass density comes out at 13.1 Mg/m³. The calculation puts the final energy at -26.66 eV/f.u.

Cell: 3.0549 3.0549 33.0146 Å, 90.00 90.00 120.00°
Space group R3m (No. 160, hexagonal axes)
Asymmetric unit:
Tc: 0.0000 0.0000 0.0000 [3 per cell]
Os: 0.0000 0.0000 0.7239 [3 per cell]
Pb: 0.0000 0.0000 0.2558 [3 per cell]
Pb: 0.0000 0.0000 0.4678 [3 per cell]

Entry 4:
Material: BeRu5
Method: DFT, PBE
State: optimized geometry

The magnetization comes out at 0.0 μB/f.u. The distance to the lowest polymorph of the same formula comes out at 172 meV/atom. The mass density comes out at 10.6 Mg/m³. The calculation puts the final energy at -49.23 eV/f.u.

Cell: 3.759 11.379 3.753 Å, 90.00 90.00 90.00°
Space group Cmmm (No. 65)
Asymmetric unit:
Be: 0.000 0.000 0.000 [2 per cell]
Ru: 0.000 0.164 0.500 [4 per cell]
Ru: 0.000 0.330 0.000 [4 per cell]
Ru: 0.000 0.500 0.500 [2 per cell]

Entry 5:
Material: LuAgPd
Method: DFT, PBE
State: optimized geometry

The magnetization comes out at 0.0 μB/f.u. The distance to the lowest polymorph of the same formula comes out at 0 meV/atom. The mass density comes out at 11.0 Mg/m³. The calculation puts the final energy at -14.44 eV/f.u.

Cell: 3.600 3.600 9.064 Å, 90.00 90.00 90.00°
Space group I4mm (No. 107)
Asymmetric unit:
Lu: 0.000 0.000 0.000 [2 per cell]
Ag: 0.000 0.000 0.677 [2 per cell]
Pd: 0.000 0.000 0.347 [2 per cell]

Entry 6:
Material: PbSeNF2
Method: DFT, PBE
State: optimized geometry

The value obtained for the raw formation energy is -1.6 eV per formula unit. The magnetization comes out at 0.0 μB/f.u. The distance to the lowest polymorph of the same formula comes out at 0 meV/atom. The mass density comes out at 6.8 Mg/m³. The calculation puts the final energy at -20.88 eV/f.u.

Cell: 4.708 4.708 3.747 Å, 90.00 90.00 90.00°
Space group P4/mmm (No. 123)
Asymmetric unit:
Pb: 0.000 0.000 0.000 [1 per cell]
Se: 0.500 0.500 0.500 [1 per cell]
N: 0.500 0.500 0.000 [1 per cell]
F: 0.000 0.500 0.500 [2 per cell]

Entry 7:
Material: RuRhW
Method: DFT, PBE
State: optimized geometry

The magnetization comes out at 0.0 μB/f.u. The distance to the lowest polymorph of the same formula comes out at 119 meV/atom. The mass density comes out at 14.5 Mg/m³. The calculation puts the final energy at -29.47 eV/f.u.

Cell: 2.7582 2.7582 6.7578 Å, 90.00 90.00 120.00°
Space group P3m1 (No. 156)
Asymmetric unit:
Ru: 0.0000 0.0000 0.0000 [1 per cell]
Rh: 0.3333 0.6667 0.6562 [1 per cell]
W: 0.6667 0.3333 0.3240 [1 per cell]

Entry 8:
Material: CaRe4Hg
Method: DFT, PBE
State: optimized geometry

The magnetization comes out at 0.0 μB/f.u. The mass density comes out at 15.1 Mg/m³. The calculation puts the final energy at -49.22 eV/f.u.

Cell: 7.571 7.571 7.571 Å, 90.00 90.00 90.00°
Space group F-43m (No. 216)
Asymmetric unit:
Ca: 0.000 0.000 0.000 [4 per cell]
Re: 0.124 0.124 0.376 [16 per cell]
Hg: 0.250 0.250 0.750 [4 per cell]

Entry 9:
Material: Na2CePbO4
Method: DFT, PBE
State: optimized geometry

The value obtained for the raw formation energy is -16.6 eV per formula unit. The magnetization comes out at 0.0 μB/f.u. The mass density comes out at 6.0 Mg/m³. The calculation puts the final energy at -48.67 eV/f.u.

Cell: 5.996 3.582 6.298 Å, 90.00 110.61 90.00°
Space group P2/m (No. 10)
Asymmetric unit:
Na: 0.000 0.000 0.000 [1 per cell]
Na: 0.000 0.500 0.500 [1 per cell]
Ce: 0.500 0.000 0.500 [1 per cell]
Pb: 0.500 0.500 0.000 [1 per cell]
O: 0.279 0.000 0.714 [2 per cell]
O: 0.280 0.500 0.284 [2 per cell]

Entry 10:
Material: Cs2Ag2Sb
Method: DFT, PBE
State: optimized geometry

The value obtained for the raw formation energy is -0.1 eV per formula unit. The magnetization comes out at 0.6 μB/f.u. The distance to the lowest polymorph of the same formula comes out at 57 meV/atom. The mass density comes out at 4.6 Mg/m³. The calculation puts the final energy at -11.65 eV/f.u.

Cell: 7.318 7.318 8.140 Å, 90.00 90.00 90.00°
Space group I4/mmm (No. 139)
Asymmetric unit:
Cs: 0.000 0.500 0.250 [4 per cell]
Ag: 0.000 0.000 0.165 [4 per cell]
Sb: 0.000 0.000 0.500 [2 per cell]

Entry 11:
Material: TiInAg2W
Method: DFT, PBE
State: optimized geometry

The magnetization comes out at 0.0 μB/f.u. The mass density comes out at 7.6 Mg/m³. The calculation puts the final energy at -23.50 eV/f.u.

Cell: 5.199 5.199 4.559 Å, 90.00 90.00 90.00°
Space group P4/mmm (No. 123)
Asymmetric unit:
Ti: 0.000 0.000 0.000 [1 per cell]
In: 0.500 0.500 0.000 [1 per cell]
Ag: 0.000 0.500 0.500 [2 per cell]
W: 0.000 0.000 0.500 [1 per cell]

Entry 12:
Material: Tb5CuRu2
Method: DFT, PBE
State: optimized geometry

The magnetization comes out at 0.0 μB/f.u. The mass density comes out at 9.1 Mg/m³. The calculation puts the final energy at -48.17 eV/f.u.

Cell: 7.756 7.756 12.882 Å, 90.00 90.00 90.00°
Space group I4/mcm (No. 140)
Asymmetric unit:
Tb: 0.000 0.000 0.000 [4 per cell]
Tb: 0.157 0.343 0.138 [16 per cell]
Cu: 0.000 0.000 0.250 [4 per cell]
Ru: 0.143 0.357 0.500 [8 per cell]